A plane-wave DFT calculation with PBE was carried out for a relaxed TcBSbI2 crystal.

Summary:
**Formation energy (no corrections)**: 7.05 eV per formula unit
**Energy above the lowest structure with this stoichiometry**: 0.000 eV/atom
**SG**: P4/mmm (123)
**Magnetization**: 0.99 μB/cell

Cell lengths 5.578, 5.578, 5.065 Å; angles 90.00, 90.00, 90.00 degrees
Positions (direct):
Tc1 0.000 0.000 0.000
B1 0.500 0.500 0.500
Sb1 0.000 0.000 0.500
I1 0.000 0.500 0.000
I2 0.500 0.000 0.000

---

A plane-wave DFT calculation with PBE was carried out for a relaxed TcBSbI2 crystal.

Summary:
**Formation energy (no corrections)**: 7.65 eV per formula unit
**Energy above the lowest structure with this stoichiometry**: 0.120 eV/atom
**SG**: P4/mmm (123)
**Magnetization**: 0.30 μB/cell

Cell lengths 4.824, 4.824, 4.736 Å; angles 90.00, 90.00, 90.00 degrees
Positions (direct):
Tc1 0.000 0.000 0.000
B1 0.500 0.500 0.500
Sb1 0.500 0.500 0.000
I1 0.000 0.500 0.500
I2 0.500 0.000 0.500

---

A plane-wave DFT calculation with PBE was carried out for a relaxed BSbTeI2 crystal.

Summary:
**Formation energy (no corrections)**: 5.65 eV per formula unit
**Energy above the lowest structure with this stoichiometry**: 0.383 eV/atom
**SG**: P4/mmm (123)
**Magnetization**: 0.01 μB/cell

Cell lengths 5.981, 5.981, 5.849 Å; angles 90.00, 90.00, 90.00 degrees
Positions (direct):
B1 0.000 0.000 0.000
Sb1 0.500 0.500 0.500
Te1 0.500 0.500 0.000
I1 0.000 0.500 0.500
I2 0.500 0.000 0.500

---

A plane-wave DFT calculation with PBE was carried out for a relaxed BSbTeI2 crystal.

Summary:
**Formation energy (no corrections)**: 3.89 eV per formula unit
**Energy above the lowest structure with this stoichiometry**: 0.031 eV/atom
**SG**: P4/mmm (123)
**Magnetization**: 0.00 μB/cell

Cell lengths 4.927, 4.927, 5.422 Å; angles 90.00, 90.00, 90.00 degrees
Positions (direct):
B1 0.000 0.000 0.000
Sb1 0.000 0.000 0.500
Te1 0.500 0.500 0.500
I1 0.000 0.500 0.000
I2 0.500 0.000 0.000

---

A plane-wave DFT calculation with PBE was carried out for a relaxed BSbTeI2 crystal.

Summary:
**Formation energy (no corrections)**: 6.97 eV per formula unit
**Energy above the lowest structure with this stoichiometry**: 0.647 eV/atom
**SG**: P4/mmm (123)
**Magnetization**: 0.73 μB/cell

Cell lengths 6.026, 6.026, 5.974 Å; angles 90.00, 90.00, 90.00 degrees
Positions (direct):
B1 0.000 0.000 0.000
Sb1 0.500 0.500 0.000
Te1 0.500 0.500 0.500
I1 0.000 0.500 0.500
I2 0.500 0.000 0.500

---

A plane-wave DFT calculation with PBE was carried out for a relaxed BSbTeI2 crystal.

Summary:
**Formation energy (no corrections)**: 3.73 eV per formula unit
**Energy above the lowest structure with this stoichiometry**: 0.000 eV/atom
**SG**: P4/mmm (123)
**Magnetization**: 0.00 μB/cell

Cell lengths 4.935, 4.935, 5.399 Å; angles 90.00, 90.00, 90.00 degrees
Positions (direct):
B1 0.000 0.000 0.000
Sb1 0.500 0.500 0.500
Te1 0.000 0.000 0.500
I1 0.000 0.500 0.000
I2 0.500 0.000 0.000

---

A plane-wave DFT calculation with PBE was carried out for a relaxed TiBSb2I crystal.

Summary:
**Formation energy (no corrections)**: 5.36 eV per formula unit
**Energy above the lowest structure with this stoichiometry**: 0.171 eV/atom
**SG**: P4/mmm (123)
**Magnetization**: 0.00 μB/cell

Cell lengths 5.258, 5.258, 5.588 Å; angles 90.00, 90.00, 90.00 degrees
Positions (direct):
Ti1 0.000 0.000 0.000
B1 0.500 0.500 0.500
Sb1 0.000 0.500 0.000
Sb2 0.500 0.000 0.000
I1 0.000 0.000 0.500

---

A plane-wave DFT calculation with PBE was carried out for a relaxed TiBSb2I crystal.

Summary:
**Formation energy (no corrections)**: 10.04 eV per formula unit
**Energy above the lowest structure with this stoichiometry**: 1.108 eV/atom
**SG**: P4/mmm (123)
**Magnetization**: 0.00 μB/cell

Cell lengths 5.913, 5.913, 4.952 Å; angles 90.00, 90.00, 90.00 degrees
Positions (direct):
Ti1 0.000 0.000 0.000
B1 0.500 0.500 0.000
Sb1 0.000 0.500 0.500
Sb2 0.500 0.000 0.500
I1 0.000 0.000 0.500

---

What is the formula in the fifth record? BSbTeI2